{
  "formula": "HfZrAu2",
  "functional": "PBE",
  "state": "relaxed",
  "dft_energy_ev_per_atom": -6.713,
  "formation_enthalpy_0k_ev_per_atom": -0.449,
  "de_polymorph_mev_per_atom": 4.6,
  "lattice_angstrom": [[4.0182, 0.0000, 0.0000], [0.0000, 4.4304, 0.0000], [0.0000, 0.0000, 4.4304]],
  "species": ["Hf", "Au", "Au", "Zr"],
  "frac_coords": [[0.5000, 0.5000, 0.5000], [0.0000, 0.0000, 0.5000], [0.0000, 0.5000, 0.0000], [0.5000, 0.0000, 0.0000]]
}

{
  "formula": "PrNd3Th",
  "functional": "PBE",
  "state": "relaxed",
  "dft_energy_ev_per_atom": -5.230,
  "formation_enthalpy_0k_ev_per_atom": 0.070,
  "de_polymorph_mev_per_atom": 0.0,
  "lattice_angstrom": [[5.8852, -0.0314, 0.0886], [-2.8784, 8.2367, -1.9070], [-0.1176, 0.0646, 7.2078]],
  "species": ["Pr", "Pr", "Nd", "Nd", "Nd", "Nd", "Nd", "Nd", "Th", "Th"],
  "frac_coords": [[0.4005, 0.7989, 0.4479], [0.5995, 0.2011, 0.5521], [0.2097, 0.4208, 0.6074], [0.6029, 0.2063, 0.0500], [0.0017, 0.0028, 0.2458], [0.7903, 0.5792, 0.3926], [0.9983, 0.9972, 0.7542], [0.3971, 0.7937, 0.9500], [0.2092, 0.4184, 0.1005], [0.7908, 0.5816, 0.8995]]
}